Entry 1:
Entry from the Alexandria database: a relaxed PuAsHPd2 crystal (GGA-PBE).

Unit cell a=4.0435 b=5.7384 c=7.4016 alpha=90.00 beta=90.00 gamma=110.63
Each line ends with the local moment (μB).
Positions (direct):
Pu: 0.4492 0.8985 0.7500  5.29
Pu: 0.5508 0.1015 0.2500  5.29
As: 0.7331 0.4662 0.7500  -0.03
As: 0.2669 0.5338 0.2500  -0.03
H: 0.0000 0.0000 0.0000  -0.01
H: 0.0000 0.0000 0.5000  -0.01
Pd: 0.1592 0.3183 0.9419  -0.03
Pd: 0.8408 0.6817 0.0581  -0.03
Pd: 0.1592 0.3183 0.5581  -0.03
Pd: 0.8408 0.6817 0.4419  -0.03

Summary:
Total magnetic moment = 5.42 μB/f.u.
DOS(E_F) = 2.483 states/eV/atom
SG = No. 63
DFT total energy = -7.10 eV per atom

Entry 2:
Entry from the Alexandria database: a relaxed PuAsHPd crystal (GGA-PBE).

Unit cell a=4.3603 b=4.3601 c=3.8584 alpha=90.00 beta=90.00 gamma=120.00
Each line ends with the local moment (μB).
Positions (direct):
Pu: 0.5719 0.1438 0.3087  5.09
As: 0.9053 0.8106 0.8346  -0.12
H: 0.2385 0.4771 0.3061  -0.01
Pd: 0.2386 0.4772 0.7897  -0.02

Summary:
Total magnetic moment = 5.03 μB/f.u.
DOS(E_F) = 2.773 states/eV/atom
SG = No. 156
DFT total energy = -7.54 eV per atom